Compound: AcEu2Rh
Source: Alexandria
Functional: PBE
Structure: relaxed

Results
- ΔE_f (eV/atom) = -0.029
- symmetry = R-3m (166)
- total magnetization (μB per cell) = 14.097
- distance to the lowest polymorph of the same formula (meV per atom) = 133

Unit cell a=11.144 b=11.144 c=11.144 alpha=20.25 beta=20.25 gamma=20.25
Fractional positions:
1 Ac 0.000 0.000 0.000
2 Eu 0.114 0.114 0.114
3 Eu 0.886 0.886 0.886
4 Rh 0.500 0.500 0.500